# GGA-PBEsol LaSBr, relaxed
# Crystal system: orthorhombic
# Total energy (Ry/atom): -0.4412
# Formation energy from raw total energies (eV per atom): -2.136
# DOS(E_F) (states/eV/atom): 0.00
data_LaSBr
_symmetry_space_group_name_H-M 'P b c a'
_symmetry_Int_Tables_number 61
_cell_length_a 6.911
_cell_length_b 13.909
_cell_length_c 7.110
_cell_angle_alpha 90.00
_cell_angle_beta 90.00
_cell_angle_gamma 90.00
loop_
_symmetry_equiv_pos_as_xyz
'x,y,z'
'-x,-y,-z'
'-x+1/2,-y,z+1/2'
'x+1/2,y,-z+1/2'
'x+1/2,-y+1/2,-z'
'-x+1/2,y+1/2,z'
'-x,y+1/2,-z+1/2'
'x,-y+1/2,z+1/2'
loop_
_atom_site_label
_atom_site_type_symbol
_atom_site_fract_x
_atom_site_fract_y
_atom_site_fract_z
_atom_site_occupancy
La1 La 0.243 0.093 0.033 1
S1 S 0.001 0.023 0.743 1
Br1 Br 0.151 0.706 0.392 1

***

# GGA-PBEsol CdNi2H2, relaxed
# Crystal system: tetragonal
# Total energy (Ry/atom): -0.3014
# DOS(E_F) (states/eV/atom): 0.31
data_CdNi2H2
_symmetry_space_group_name_H-M 'I 4/m m m'
_symmetry_Int_Tables_number 139
_symmetry_space_group_name_Hall '-I 4 2'
_cell_length_a 3.054
_cell_length_b 3.054
_cell_length_c 9.599
_cell_angle_alpha 90.00
_cell_angle_beta 90.00
_cell_angle_gamma 90.00
loop_
_atom_site_label
_atom_site_type_symbol
_atom_site_fract_x
_atom_site_fract_y
_atom_site_fract_z
_atom_site_occupancy
Cd1 Cd 0.000 0.000 0.000 1
Ni1 Ni 0.000 0.000 0.328 1
H1 H 0.000 0.500 0.250 1

***

# GGA-PBEsol KSb2PO8, relaxed
# Crystal system: monoclinic
# Total energy (Ry/atom): -0.4866
# Formation energy from raw total energies (eV per atom): -1.784
# DOS(E_F) (states/eV/atom): 0.00
data_KSb2PO8
_symmetry_space_group_name_H-M 'C 1 2/c 1'
_symmetry_Int_Tables_number 15
_cell_length_a 12.351
_cell_length_b 7.129
_cell_length_c 15.100
_cell_angle_alpha 90.00
_cell_angle_beta 95.71
_cell_angle_gamma 90.00
loop_
_symmetry_equiv_pos_as_xyz
'x,y,z'
'-x,-y,-z'
'-x,y,-z+1/2'
'x,-y,z+1/2'
'x+1/2,y+1/2,z'
'-x+1/2,-y+1/2,-z'
'-x+1/2,y+1/2,-z+1/2'
'x+1/2,-y+1/2,z+1/2'
loop_
_atom_site_label
_atom_site_type_symbol
_atom_site_fract_x
_atom_site_fract_y
_atom_site_fract_z
_atom_site_occupancy
K1 K 0.026 0.121 0.383 1
Sb1 Sb 0.177 0.368 0.937 1
Sb2 Sb 0.248 0.374 0.253 1
P1 P 0.102 0.386 0.605 1
O1 O 0.014 0.365 0.940 1
O2 O 0.110 0.450 0.173 1
O3 O 0.128 0.197 0.653 1
O4 O 0.159 0.178 0.842 1
O5 O 0.163 0.421 0.354 1
O6 O 0.166 0.167 0.029 1
O7 O 0.177 0.420 0.532 1
O8 O 0.182 0.123 0.246 1

***

# GGA-PBEsol MnRe3Ni, relaxed
# Crystal system: cubic
# Total energy (Ry/atom): -0.6840
# DOS(E_F) (states/eV/atom): 1.58
# ΔH_f (0 K) (eV/atom): 1.8771
data_MnRe3Ni
_symmetry_space_group_name_H-M 'P m -3 m'
_symmetry_Int_Tables_number 221
_symmetry_space_group_name_Hall '-P 4 2 3'
_cell_length_a 4.351
_cell_length_b 4.351
_cell_length_c 4.351
_cell_angle_alpha 90.00
_cell_angle_beta 90.00
_cell_angle_gamma 90.00
loop_
_atom_site_label
_atom_site_type_symbol
_atom_site_fract_x
_atom_site_fract_y
_atom_site_fract_z
_atom_site_occupancy
Mn1 Mn 0.000 0.000 0.000 1
Re1 Re 0.000 0.500 0.500 1
Ni1 Ni 0.500 0.500 0.500 1

***

# GGA-PBEsol TcCl3, relaxed
# Energy above the most stable polymorph in this dataset (eV per formula unit): 0.32
# Crystal system: monoclinic
# Total energy (Ry/atom): -0.3667
# Formation energy from raw total energies (eV per atom): -0.666
# DOS(E_F) (states/eV/atom): 0.56
data_TcCl3
_symmetry_space_group_name_H-M 'C 1 2/m 1'
_symmetry_Int_Tables_number 12
_cell_length_a 6.002
_cell_length_b 9.490
_cell_length_c 6.351
_cell_angle_alpha 90.00
_cell_angle_beta 106.08
_cell_angle_gamma 90.00
loop_
_symmetry_equiv_pos_as_xyz
'x,y,z'
'-x,-y,-z'
'-x,y,-z'
'x,-y,z'
'x+1/2,y+1/2,z'
'-x+1/2,-y+1/2,-z'
'-x+1/2,y+1/2,-z'
'x+1/2,-y+1/2,z'
loop_
_atom_site_label
_atom_site_type_symbol
_atom_site_fract_x
_atom_site_fract_y
_atom_site_fract_z
_atom_site_occupancy
Tc1 Tc 0.000 0.142 0.000 1
Cl1 Cl 0.227 0.331 0.209 1
Cl2 Cl 0.239 0.000 0.259 1

***

# GGA-PBEsol LiCu2P5O16, relaxed
# Crystal system: monoclinic
# Total energy (Ry/atom): -0.5085
# Formation energy from raw total energies (eV per atom): -1.769
# DOS(E_F) (states/eV/atom): 0.07
data_LiCu2P5O16
_symmetry_space_group_name_H-M 'P 1 c 1'
_symmetry_Int_Tables_number 7
_cell_length_a 4.885
_cell_length_b 6.575
_cell_length_c 18.379
_cell_angle_alpha 90.00
_cell_angle_beta 91.23
_cell_angle_gamma 90.00
loop_
_symmetry_equiv_pos_as_xyz
'x,y,z'
'x,-y,z+1/2'
loop_
_atom_site_label
_atom_site_type_symbol
_atom_site_fract_x
_atom_site_fract_y
_atom_site_fract_z
_atom_site_occupancy
Li1 Li 0.000 0.081 0.000 1
Cu1 Cu 0.020 0.326 0.568 1
Cu2 Cu 0.522 0.318 0.885 1
P1 P 0.003 0.037 0.843 1
P2 P 0.044 0.372 0.400 1
P3 P 0.277 0.262 0.727 1
P4 P 0.503 0.370 0.054 1
P5 P 0.538 0.039 0.608 1
O1 O 0.053 0.200 0.336 1
O2 O 0.078 0.101 0.763 1
O3 O 0.118 0.381 0.670 1
O4 O 0.191 0.133 0.901 1
O5 O 0.197 0.415 0.043 1
O6 O 0.327 0.122 0.555 1
O7 O 0.342 0.434 0.412 1
O8 O 0.423 0.386 0.784 1
O9 O 0.495 0.115 0.689 1
O10 O 0.502 0.199 0.119 1
O11 O 0.632 0.261 0.989 1
O12 O 0.666 0.454 0.586 1
O13 O 0.700 0.064 0.855 1
O14 O 0.838 0.063 0.590 1
O15 O 0.867 0.459 0.868 1
O16 O 0.930 0.258 0.466 1

***

- Which of these has the lowest total energy?
  MnRe3Ni

***

- total energy of number 1 (LaSBr)?
  -0.4412 Ry/atom

***

- Which formula does entry 2 have?
  CdNi2H2